# 1
Below is a relaxed CdRuIO2 crystal, with properties calculated at the PBE level.

Values from the calculation:
As for the space group: P4/mmm. Its volume is 21.9 Å³ per atom. The excess energy over the best structure of this formula in the dataset comes out at 90.80 kJ per mole of atoms. The value obtained for the energy relative to the elements, uncorrected is 0.72 eV per atom.

a = 4.105 Å, b = 4.105 Å, c = 6.489 Å
α = 90.00°, β = 90.00°, γ = 90.00°
Last column: magnetic moment on the atom in μB.
Fractional coordinates of all 5 atoms:
I: 0.000 0.000 0.500  0.08
Ru: 0.500 0.500 0.500  2.29
O: 0.000 0.500 0.000  0.49
O: 0.500 0.000 0.000  0.49
Cd: 0.000 0.000 0.000  0.01

---

# 2
Below is a relaxed Sc2OsF crystal, with properties calculated at the PBE level.

Values from the calculation:
As for the space group: I-42d. Its volume is 17.2 Å³ per atom. The excess energy over the best structure of this formula in the dataset comes out at 11.29 kJ per mole of atoms. The value obtained for the energy relative to the elements, uncorrected is -1.07 eV per atom.

a = 6.290 Å, b = 6.290 Å, c = 5.641 Å
α = 56.11°, β = 56.11°, γ = 90.00°
Fractional coordinates of all 8 atoms:
Sc: 0.570 0.125 0.250
Sc: 0.180 0.625 0.250
Sc: 0.375 0.430 0.750
Sc: 0.875 0.820 0.750
Os: 0.000 0.000 0.000
Os: 0.750 0.250 0.500
F: 0.500 0.500 0.000
F: 0.250 0.750 0.500

---

# 3
Below is a relaxed Li2AlAg2 crystal, with properties calculated at the PBE level.

Values from the calculation:
As for the space group: C2/m. Its volume is 16.0 Å³ per atom. The excess energy over the best structure of this formula in the dataset comes out at 0.00 kJ per mole of atoms.

a = 4.412 Å, b = 5.312 Å, c = 10.305 Å
α = 47.19°, β = 77.64°, γ = 65.47°
Fractional coordinates of all 10 atoms:
Li: 0.447 0.958 0.647
Li: 0.053 0.542 0.853
Li: 0.553 0.042 0.353
Li: 0.947 0.458 0.147
Al: 0.250 0.750 0.250
Al: 0.750 0.250 0.750
Ag: 0.347 0.860 0.947
Ag: 0.847 0.360 0.447
Ag: 0.653 0.140 0.053
Ag: 0.153 0.640 0.553

---

Number 1: DOS at the Fermi energy 6.7 states/eV/f.u.. Number 2: DOS at the Fermi energy 2.4 states/eV/f.u.. Number 3: DOS at the Fermi energy 1.6 states/eV/f.u..